VASP calculation (PBE) on a relaxed TcBr crystal.

Properties
Total energy (eV per atom): -4.91
Symmetry: Pm-3m, No. 221
Relative energy among the computed polymorphs (meV per atom): 1063
DOS at the Fermi energy (states/eV per atom): 0.90

a = 4.521 Å, b = 4.521 Å, c = 3.203 Å
α = 90.00°, β = 90.00°, γ = 90.00°
Atoms (fractional coordinates):
Tc: 0.250 0.250 0.500
Tc: 0.750 0.750 0.500
Br: 0.250 0.750 0.000
Br: 0.750 0.250 0.000